(1)
A plane-wave DFT calculation with GGA-PBE was carried out for an optimized crystal structure of Li3Ac3Zn8.

abc: 4.6992 8.8140 8.8140
angles: 63.04 74.54 74.54
With the nearest neighbours (Å) after each atom.
Atoms (fractional coordinates):
Li  0.5000  0.0000  0.0000  4 Zn 2.81, 4 Li 2.99
Li  0.0000  0.7998  0.2002  2 Zn 2.70, 2 Li 2.99
Li  0.0000  0.2002  0.7998  2 Zn 2.70, 2 Li 2.99
Ac  0.5000  0.5000  0.5000  12 Zn 3.25-3.54, 4 Li 3.63
Ac  0.7924  0.2076  0.2076  12 Zn 3.26-3.41, 2 Li 3.49
Ac  0.2076  0.7924  0.7924  12 Zn 3.26-3.41, 2 Li 3.49
Zn  0.6373  0.0816  0.6439  3 Zn 2.69-2.97, 1 Li 2.81
Zn  0.3627  0.9184  0.3561  3 Zn 2.69-2.97, 1 Li 2.81
Zn  0.6373  0.6439  0.0816  3 Zn 2.69-2.97, 1 Li 2.81
Zn  0.3627  0.3561  0.9184  3 Zn 2.69-2.97, 1 Li 2.81
Zn  0.8397  0.8047  0.5160  4 Zn 2.66-2.97, 1 Li 2.70
Zn  0.1603  0.1953  0.4840  4 Zn 2.66-2.97, 1 Li 2.70
Zn  0.8397  0.5160  0.8047  4 Zn 2.66-2.97, 1 Li 2.70
Zn  0.1603  0.4840  0.1953  4 Zn 2.66-2.97, 1 Li 2.70

Results
DFT formation energy = -326 kJ/mol of formula units
total DFT energy (no corrections) = -2.260 eV/atom
calculated density = 6582 kg/m³


(2)
A plane-wave DFT calculation with GGA-PBE was carried out for an optimized crystal structure of ReAgRh3.

abc: 4.6946 4.6946 4.6946
angles: 90.00 90.00 90.00
With the nearest neighbours (Å) after each atom.
Atoms (fractional coordinates):
Re  0.0000  0.0000  0.0000  6 Rh 2.35
Rh  0.0000  0.5000  0.0000  2 Re 2.35
Rh  0.0000  0.0000  0.5000  2 Re 2.35
Rh  0.5000  0.0000  0.0000  2 Re 2.35
Ag  0.5000  0.5000  0.5000  12 Rh 3.32

Results
DFT formation energy = 544 kJ/mol of formula units
total DFT energy (no corrections) = -6.344 eV/atom
relative energy among the computed polymorphs = 0.000 eV/atom
calculated density = 9674 kg/m³


(3)
A plane-wave DFT calculation with GGA-PBE was carried out for an optimized crystal structure of Nd2Cu3AgSn4.

abc: 4.4947 4.4947 10.9361
angles: 90.00 90.00 90.00
With the nearest neighbours (Å) after each atom.
Atoms (fractional coordinates):
Nd  0.5000  0.0000  0.2513  8 Sn 3.40-3.55, 6 Cu 3.44-3.53, 2 Ag 3.53
Nd  0.0000  0.5000  0.7487  8 Sn 3.40-3.55, 6 Cu 3.44-3.53, 2 Ag 3.53
Cu  0.0000  0.0000  0.5000  4 Sn 2.71
Cu  0.5000  0.0000  0.8683  5 Sn 2.52-2.67
Cu  0.0000  0.5000  0.1317  5 Sn 2.52-2.67
Ag  0.5000  0.5000  0.5000  4 Sn 2.71
Sn  0.5000  0.5000  0.0000  4 Cu 2.67
Sn  0.0000  0.0000  0.0000  4 Cu 2.67
Sn  0.5000  0.0000  0.6378  3 Cu 2.52-2.71, 2 Ag 2.71
Sn  0.0000  0.5000  0.3622  3 Cu 2.52-2.71, 2 Ag 2.71

Results
DFT formation energy = -386 kJ/mol of formula units
total DFT energy (no corrections) = -4.468 eV/atom
calculated density = 7981 kg/m³


Which of these has the highest calculated density?
ReAgRh3